No. 1
VASP calculation (PBE) on a relaxed FeCoBr2 crystal.

Structure (POSCAR):
```
FeCoBr2
1.0
-0.766 6.528 -3.513
-3.892 5.959 -2.209
-1.428 7.311 -0.235
Br Co Fe
2 1 1
direct
0.998 0.998 0.998
0.502 0.502 0.502
0.250 0.250 0.250
0.750 0.750 0.750
```

Summary:
The calculation puts the polymorph energy (0 for the lowest one) at 513 meV/atom. The value obtained for the formation energy without anion corrections is 495 meV/atom. The symmetry is R-3m (166).

No. 2
VASP calculation (PBE) on a relaxed BaSrHo4O8 crystal.

Structure (POSCAR):
```
BaSrHo4O8
1.0
3.439 0.000 0.000
0.000 10.308 0.000
0.000 0.000 12.074
Ba Sr Ho O
2 2 8 16
direct
0.500 0.747 0.600
0.500 0.247 0.400
0.000 0.254 0.898
0.000 0.754 0.102
0.500 0.077 0.137
0.500 0.577 0.863
0.000 0.921 0.356
0.000 0.421 0.644
0.500 0.075 0.643
0.500 0.575 0.357
0.000 0.927 0.866
0.000 0.427 0.134
0.500 0.077 0.830
0.500 0.577 0.170
0.000 0.931 0.680
0.000 0.431 0.320
0.500 0.378 0.774
0.500 0.878 0.226
0.000 0.616 0.735
0.000 0.116 0.265
0.500 0.290 0.079
0.500 0.790 0.921
0.000 0.709 0.408
0.000 0.209 0.592
0.500 0.981 0.466
0.500 0.481 0.534
0.000 0.016 0.033
0.000 0.516 0.967
```

Summary:
The value obtained for the formation energy without anion corrections is -3329 meV/atom. The symmetry is Pmc2_1 (26).

No. 3
VASP calculation (PBE) on a relaxed ScCd2In crystal.

Structure (POSCAR):
```
ScCd2In
1.0
5.021 0.000 0.000
2.511 4.349 0.000
2.511 1.450 4.100
Cd In Sc
2 1 1
direct
0.000 0.000 0.000
0.250 0.250 0.250
0.500 0.500 0.500
0.750 0.750 0.750
```

Summary:
The formation energy is -0.157 eV per atom. The symmetry is F-43m (216).

No. 4
VASP calculation (PBE) on a relaxed LaSnBi3 crystal.

Structure (POSCAR):
```
LaSnBi3
1.0
-0.448 -3.254 -5.152
2.181 -4.909 2.910
-5.689 -1.626 1.522
Bi Sn La
3 1 1
direct
0.000 0.500 0.000
0.000 0.000 0.500
0.500 0.000 0.000
0.500 0.500 0.500
0.000 0.000 0.000
```

Summary:
The formation energy is 0.528 eV per atom. The calculation puts the polymorph energy (0 for the lowest one) at 927 meV/atom. The symmetry is Pm-3m (221).

No. 5
VASP calculation (PBE) on a relaxed Ac6Sn3Pt crystal.

Structure (POSCAR):
```
Ac6Sn3Pt
1.0
6.927 0.000 -0.042
0.000 9.293 0.000
0.004 0.000 11.861
Ac Sn Pt
12 6 2
direct
0.633 0.163 0.931
0.618 0.188 0.564
0.629 0.459 0.263
0.371 0.541 0.737
0.382 0.812 0.436
0.367 0.837 0.069
0.133 0.337 0.431
0.118 0.312 0.064
0.129 0.041 0.763
0.871 0.959 0.237
0.882 0.688 0.936
0.867 0.663 0.569
0.582 0.882 0.742
0.500 0.500 0.000
0.418 0.118 0.258
0.082 0.618 0.242
0.000 0.000 0.500
0.918 0.382 0.758
0.500 0.500 0.500
0.000 0.000 0.000
```

Summary:
The formation energy is -0.624 eV per atom. The symmetry is P2_1/c (14).

No. 6
VASP calculation (PBE) on a relaxed LiCeHoCd crystal.

Structure (POSCAR):
```
LiCeHoCd
1.0
-2.917 -1.950 3.982
1.418 -4.542 2.351
1.899 0.058 4.956
Li Ho Ce Cd
1 1 1 1
direct
0.250 0.250 0.250
0.000 0.000 0.000
0.500 0.500 0.500
0.750 0.750 0.750
```

Summary:
The formation energy is -0.004 eV per atom. The symmetry is F-43m (216).

No. 7
VASP calculation (PBE) on a relaxed NbV2W crystal.

Structure (POSCAR):
```
NbV2W
1.0
-3.898 1.597 -1.965
-1.431 -4.884 -1.132
-4.868 -0.683 9.100
Nb V W
4 8 4
direct
0.750 0.815 0.319
0.750 0.315 0.181
0.250 0.185 0.681
0.250 0.685 0.819
0.750 0.864 0.039
0.250 0.136 0.961
0.750 0.364 0.461
0.250 0.636 0.539
0.750 0.965 0.816
0.250 0.535 0.316
0.750 0.465 0.684
0.250 0.035 0.184
0.250 0.088 0.419
0.750 0.912 0.581
0.250 0.588 0.081
0.750 0.412 0.919
```

Summary:
The formation energy is 0.150 eV per atom. The calculation puts the polymorph energy (0 for the lowest one) at 169 meV/atom. The symmetry is Pnma (62).

No. 8
VASP calculation (PBE) on a relaxed KBa2MnH crystal.

Structure (POSCAR):
```
KBa2MnH
1.0
6.777 0.000 0.000
0.000 4.285 0.000
0.000 0.000 6.777
H K Mn Ba
1 1 1 2
direct
0.000 0.500 0.000
0.000 0.000 0.000
0.500 0.500 0.500
0.000 0.000 0.500
0.500 0.000 0.000
```

Summary:
The symmetry is P4/mmm (123).

No. 9
VASP calculation (PBE) on a relaxed Ho2Ni15Ge2 crystal.

Structure (POSCAR):
```
Ho2Ni15Ge2
1.0
6.308 -0.006 -0.006
0.812 6.255 -0.006
0.812 0.713 6.214
Ho Ni Ge
2 15 2
direct
0.350 0.350 0.350
0.650 0.650 0.650
0.500 0.000 0.000
0.000 0.000 0.500
0.000 0.500 0.000
0.000 0.697 0.303
0.697 0.303 0.000
0.303 0.000 0.697
0.303 0.697 0.000
0.697 0.000 0.303
0.000 0.303 0.697
0.155 0.656 0.656
0.656 0.656 0.155
0.656 0.155 0.656
0.845 0.344 0.344
0.344 0.344 0.845
0.344 0.845 0.344
0.105 0.105 0.105
0.895 0.895 0.895
```

Summary:
The formation energy is -0.239 eV per atom. The symmetry is R-3m (166).

No. 10
VASP calculation (PBE) on a relaxed U2Te2O crystal.

Structure (POSCAR):
```
U2Te2O
1.0
-3.097 0.381 -0.159
-0.395 -3.085 0.299
-0.583 1.526 14.992
U Te O
2 2 1
direct
0.500 0.500 0.136
0.500 0.500 0.864
0.500 0.500 0.654
0.500 0.500 0.346
0.500 0.500 0.000
```

Summary:
The calculation puts the polymorph energy (0 for the lowest one) at 996 meV/atom. The value obtained for the formation energy without anion corrections is -381 meV/atom. The symmetry is P4/mmm (123).

No. 11
VASP calculation (PBE) on a relaxed GaSnAu4 crystal.

Structure (POSCAR):
```
GaSnAu4
1.0
-3.964 1.382 2.053
-4.038 -4.915 -4.489
3.266 -4.918 4.297
Ga Sn Au
2 2 8
direct
0.000 0.500 0.500
0.500 0.000 0.500
0.750 0.250 0.000
0.250 0.750 0.000
0.047 0.849 0.594
0.547 0.349 0.594
0.673 0.876 0.846
0.173 0.376 0.846
0.327 0.124 0.154
0.827 0.624 0.154
0.953 0.151 0.406
0.453 0.651 0.406
```

Summary:
The formation energy is -0.075 eV per atom. The calculation puts the polymorph energy (0 for the lowest one) at 35 meV/atom. The symmetry is C2/m (12).

No. 12
VASP calculation (PBE) on a relaxed SiSnPt3 crystal.

Structure (POSCAR):
```
SiSnPt3
1.0
4.617 0.000 0.000
0.000 4.617 0.000
0.000 0.000 4.617
Si Sn Pt
1 1 3
direct
0.000 0.000 0.000
0.500 0.500 0.500
0.000 0.500 0.000
0.000 0.000 0.500
0.500 0.000 0.000
```

Summary:
The calculation puts the polymorph energy (0 for the lowest one) at 0 meV/atom. The value obtained for the formation energy without anion corrections is -25 meV/atom. The symmetry is Pm-3m (221).

No. 13
VASP calculation (PBE) on a relaxed PmDyY crystal.

Structure (POSCAR):
```
PmDyY
1.0
5.444 0.000 0.000
0.000 3.558 0.000
0.000 1.779 10.173
Y Dy Pm
2 2 2
direct
0.250 0.115 0.770
0.750 0.885 0.230
0.250 0.459 0.081
0.750 0.541 0.919
0.750 0.706 0.587
0.250 0.294 0.413
```

Summary:
The formation energy is 0.037 eV per atom. The calculation puts the polymorph energy (0 for the lowest one) at 19 meV/atom. The symmetry is Cmcm (63).

No. 14
VASP calculation (PBE) on a relaxed ErTm3S6 crystal.

Structure (POSCAR):
```
ErTm3S6
1.0
3.894 0.000 0.000
0.000 10.317 -3.541
0.000 0.016 11.165
Er Tm S
2 6 12
direct
0.750 0.044 0.691
0.250 0.956 0.309
0.750 0.433 0.832
0.250 0.567 0.168
0.750 0.683 0.503
0.250 0.317 0.497
0.750 0.160 0.084
0.250 0.840 0.916
0.750 0.477 0.613
0.250 0.523 0.387
0.750 0.918 0.098
0.250 0.082 0.902
0.750 0.397 0.063
0.250 0.603 0.937
0.750 0.745 0.276
0.250 0.255 0.724
0.750 0.111 0.463
0.250 0.889 0.537
0.750 0.808 0.750
0.250 0.192 0.250
```

Summary:
The calculation puts the polymorph energy (0 for the lowest one) at 0 meV/atom. The value obtained for the formation energy without anion corrections is -2063 meV/atom. The symmetry is P2_1/m (11).

No. 15
VASP calculation (PBE) on a relaxed K2LiZnP2 crystal.

Structure (POSCAR):
```
K2LiZnP2
1.0
-0.716 -1.561 -5.901
1.689 -5.797 1.329
-7.556 1.922 3.608
K Li Zn P
4 2 2 4
direct
0.410 0.171 0.341
0.590 0.829 0.659
0.069 0.329 0.659
0.931 0.671 0.341
0.000 0.750 0.000
0.000 0.250 0.000
0.500 0.750 0.000
0.500 0.250 0.000
0.821 0.089 0.178
0.356 0.589 0.178
0.644 0.411 0.822
0.179 0.911 0.822
```

Summary:
The formation energy is -0.398 eV per atom. The symmetry is Ibam (72).

No. 16
VASP calculation (PBE) on a relaxed MoOs2Cl crystal.

Structure (POSCAR):
```
MoOs2Cl
1.0
5.258 -0.003 0.002
2.548 4.599 -0.002
-3.320 -3.287 2.411
Cl Mo Os
1 1 2
direct
0.750 0.250 0.500
0.250 0.750 0.500
0.983 0.983 0.000
0.517 0.517 0.000
```

Summary:
The calculation puts the polymorph energy (0 for the lowest one) at 257 meV/atom. The value obtained for the formation energy without anion corrections is 729 meV/atom. The symmetry is Immm (71).

No. 17
VASP calculation (PBE) on a relaxed Si2SbW crystal.

Structure (POSCAR):
```
Si2SbW
1.0
-2.776 -0.822 1.696
1.046 -4.525 -0.481
2.262 0.123 3.760
Sb Si W
1 2 1
direct
0.000 0.500 0.500
0.000 0.000 0.000
0.500 0.500 0.000
0.500 0.000 0.500
```

Summary:
The value obtained for the formation energy without anion corrections is 774 meV/atom. The symmetry is Pmmm (47).

No. 18
VASP calculation (PBE) on a relaxed CuTeSN2 crystal.

Structure (POSCAR):
```
CuTeSN2
1.0
-0.749 -1.888 2.902
3.456 -0.589 0.508
0.420 5.838 3.907
S Te Cu N
1 1 1 2
direct
0.000 0.000 0.000
0.000 0.000 0.500
0.500 0.500 0.500
0.000 0.500 0.000
0.500 0.000 0.000
```

Summary:
The calculation puts the polymorph energy (0 for the lowest one) at 0 meV/atom. The value obtained for the formation energy without anion corrections is 1460 meV/atom. The symmetry is P4/mmm (123).

No. 19
VASP calculation (PBE) on a relaxed SnGe2Sb2 crystal.

Structure (POSCAR):
```
SnGe2Sb2
1.0
3.978 0.000 0.000
0.000 3.978 0.000
1.989 1.989 8.066
Sb Ge Sn
2 2 1
direct
0.397 0.397 0.206
0.603 0.603 0.794
0.750 0.250 0.500
0.250 0.750 0.500
0.000 0.000 0.000
```

Summary:
The calculation puts the polymorph energy (0 for the lowest one) at 0 meV/atom. The value obtained for the formation energy without anion corrections is 219 meV/atom. The symmetry is I4/mmm (139).

No. 20
VASP calculation (PBE) on a relaxed ErPuZnGa crystal.

Structure (POSCAR):
```
ErPuZnGa
1.0
5.036 0.000 0.000
2.518 4.362 0.000
2.518 1.454 4.112
Zn Er Ga Pu
1 1 1 1
direct
0.250 0.250 0.250
0.500 0.500 0.500
0.750 0.750 0.750
0.000 0.000 0.000
```

Summary:
The formation energy is -0.310 eV per atom. The symmetry is F-43m (216).

| no. | calculated total energy (Ry/atom) | spin magnetization (μB/atom) |
| --- | --- | --- |
| 1 | -0.3111 | 1.256 |
| 2 | -0.5679 | 0.000 |
| 3 | -0.2118 | 0.000 |
| 4 | -0.2636 | 0.000 |
| 5 | -0.3597 | 0.000 |
| 6 | -0.2454 | 0.328 |
| 7 | -0.7471 | 0.000 |
| 8 | -0.1977 | 0.950 |
| 9 | -0.4241 | 0.220 |
| 10 | -0.5251 | 1.221 |
| 11 | -0.2522 | 0.000 |
| 12 | -0.4068 | 0.000 |
| 13 | -0.3848 | 0.000 |
| 14 | -0.4658 | 0.000 |
| 15 | -0.2277 | 0.000 |
| 16 | -0.5921 | 0.000 |
| 17 | -0.4562 | 0.000 |
| 18 | -0.3045 | 0.001 |
| 19 | -0.2997 | 0.000 |
| 20 | -0.4490 | 1.495 |